This record from the Alexandria database describes an optimized crystal structure of TaTeSe2Br. The functional is GGA-PBE.

## Properties
Energy relative to the lowest polymorph listed for this composition   1.156 eV/atom
Theoretical density   5.90 Mg/m³
E_form (uncorrected)   1.2102 eV/atom
Total magnetic moment   2.99 μB/f.u.

Unit cell a=5.417 b=5.417 c=5.241 alpha=90.00 beta=90.00 gamma=90.00
Space group P4/mmm (No. 123)
Asymmetric unit:
1 Ta 0.000 0.000 0.000 (multiplicity 1)
2 Te 0.500 0.500 0.500 (multiplicity 1)
3 Se 0.000 0.500 0.500 (multiplicity 2)
4 Br 0.500 0.500 0.000 (multiplicity 1)

=====

This record from the Alexandria database describes an optimized crystal structure of TaTeSe2Br. The functional is GGA-PBE.

## Properties
Energy relative to the lowest polymorph listed for this composition   0.000 eV/atom
Theoretical density   6.89 Mg/m³
E_form (uncorrected)   0.0545 eV/atom
Total magnetic moment   1.03 μB/f.u.

Unit cell a=5.075 b=5.075 c=5.116 alpha=90.00 beta=90.00 gamma=90.00
Space group P4/mmm (No. 123)
Asymmetric unit:
1 Ta 0.000 0.000 0.000 (multiplicity 1)
2 Te 0.500 0.500 0.500 (multiplicity 1)
3 Se 0.000 0.500 0.000 (multiplicity 2)
4 Br 0.000 0.000 0.500 (multiplicity 1)

=====

This record from the Alexandria database describes an optimized crystal structure of Th2TaSe2Br4. The functional is GGA-PBE.

## Properties
Theoretical density   6.80 Mg/m³
E_form (uncorrected)   -1.1799 eV/atom
Total magnetic moment   0.00 μB/f.u.

Unit cell a=3.6668 b=3.6668 c=23.5492 alpha=90.00 beta=90.00 gamma=120.00
Space group P3m1 (No. 156)
Asymmetric unit:
1 Th 0.0000 0.0000 0.0000 (multiplicity 1)
2 Th 0.3333 0.6667 0.3502 (multiplicity 1)
3 Ta 0.3333 0.6667 0.6850 (multiplicity 1)
4 Se 0.0000 0.0000 0.6163 (multiplicity 1)
5 Se 0.0000 0.0000 0.7537 (multiplicity 1)
6 Br 0.0000 0.0000 0.2577 (multiplicity 1)
7 Br 0.0000 0.0000 0.4421 (multiplicity 1)
8 Br 0.3333 0.6667 0.0925 (multiplicity 1)
9 Br 0.3333 0.6667 0.9082 (multiplicity 1)

=====

This record from the Alexandria database describes an optimized crystal structure of TaTiSe2Br. The functional is GGA-PBE.

## Properties
Energy relative to the lowest polymorph listed for this composition   0.235 eV/atom
Theoretical density   6.43 Mg/m³
E_form (uncorrected)   0.4016 eV/atom
Total magnetic moment   3.84 μB/f.u.

Unit cell a=4.985 b=4.985 c=4.852 alpha=90.00 beta=90.00 gamma=90.00
Space group P4/mmm (No. 123)
Asymmetric unit:
1 Ta 0.000 0.000 0.000 (multiplicity 1)
2 Ti 0.500 0.500 0.500 (multiplicity 1)
3 Se 0.000 0.500 0.500 (multiplicity 2)
4 Br 0.500 0.500 0.000 (multiplicity 1)

=====

This record from the Alexandria database describes an optimized crystal structure of TaTiSe2Br. The functional is GGA-PBE.

## Properties
Energy relative to the lowest polymorph listed for this composition   0.138 eV/atom
Theoretical density   6.00 Mg/m³
E_form (uncorrected)   0.3046 eV/atom
Total magnetic moment   0.11 μB/f.u.

Unit cell a=5.037 b=5.037 c=5.087 alpha=90.00 beta=90.00 gamma=90.00
Space group P4/mmm (No. 123)
Asymmetric unit:
1 Ta 0.000 0.000 0.000 (multiplicity 1)
2 Ti 0.500 0.500 0.500 (multiplicity 1)
3 Se 0.000 0.500 0.000 (multiplicity 2)
4 Br 0.000 0.000 0.500 (multiplicity 1)

=====

This record from the Alexandria database describes an optimized crystal structure of TaTiSe2Br. The functional is GGA-PBE.

## Properties
Energy relative to the lowest polymorph listed for this composition   0.000 eV/atom
Theoretical density   5.90 Mg/m³
E_form (uncorrected)   0.1663 eV/atom
Total magnetic moment   0.12 μB/f.u.

Unit cell a=4.886 b=4.886 c=5.497 alpha=90.00 beta=90.00 gamma=90.00
Space group P4/mmm (No. 123)
Asymmetric unit:
1 Ta 0.000 0.000 0.000 (multiplicity 1)
2 Ti 0.000 0.000 0.500 (multiplicity 1)
3 Se 0.000 0.500 0.000 (multiplicity 2)
4 Br 0.500 0.500 0.500 (multiplicity 1)

=====

This record from the Alexandria database describes an optimized crystal structure of TaVSeBr2. The functional is GGA-PBE.

## Properties
Energy relative to the lowest polymorph listed for this composition   0.000 eV/atom
Theoretical density   5.84 Mg/m³
E_form (uncorrected)   0.4308 eV/atom
Total magnetic moment   4.52 μB/f.u.

Unit cell a=5.127 b=5.127 c=5.087 alpha=90.00 beta=90.00 gamma=90.00
Space group P4/mmm (No. 123)
Asymmetric unit:
1 Ta 0.000 0.000 0.000 (multiplicity 1)
2 V 0.500 0.500 0.500 (multiplicity 1)
3 Se 0.000 0.000 0.500 (multiplicity 1)
4 Br 0.000 0.500 0.000 (multiplicity 2)

=====

This record from the Alexandria database describes an optimized crystal structure of TaVSe2Br. The functional is GGA-PBE.

## Properties
Energy relative to the lowest polymorph listed for this composition   0.000 eV/atom
Theoretical density   6.01 Mg/m³
E_form (uncorrected)   0.3134 eV/atom
Total magnetic moment   3.85 μB/f.u.

Unit cell a=5.062 b=5.062 c=5.061 alpha=90.00 beta=90.00 gamma=90.00
Space group P4/mmm (No. 123)
Asymmetric unit:
1 Ta 0.000 0.000 0.000 (multiplicity 1)
2 V 0.500 0.500 0.500 (multiplicity 1)
3 Se 0.000 0.500 0.000 (multiplicity 2)
4 Br 0.000 0.000 0.500 (multiplicity 1)

=====

This record from the Alexandria database describes an optimized crystal structure of TaVSeBr2. The functional is GGA-PBE.

## Properties
Energy relative to the lowest polymorph listed for this composition   0.224 eV/atom
Theoretical density   6.32 Mg/m³
E_form (uncorrected)   0.6548 eV/atom
Total magnetic moment   5.98 μB/f.u.

Unit cell a=4.938 b=4.938 c=5.071 alpha=90.00 beta=90.00 gamma=90.00
Space group P4/mmm (No. 123)
Asymmetric unit:
1 Ta 0.000 0.000 0.000 (multiplicity 1)
2 V 0.500 0.500 0.500 (multiplicity 1)
3 Se 0.500 0.500 0.000 (multiplicity 1)
4 Br 0.000 0.500 0.500 (multiplicity 2)

=====

This record from the Alexandria database describes an optimized crystal structure of TaVSe2Br. The functional is GGA-PBE.

## Properties
Energy relative to the lowest polymorph listed for this composition   0.279 eV/atom
Theoretical density   6.73 Mg/m³
E_form (uncorrected)   0.5925 eV/atom
Total magnetic moment   4.97 μB/f.u.

Unit cell a=4.893 b=4.893 c=4.842 alpha=90.00 beta=90.00 gamma=90.00
Space group P4/mmm (No. 123)
Asymmetric unit:
1 Ta 0.000 0.000 0.000 (multiplicity 1)
2 V 0.500 0.500 0.500 (multiplicity 1)
3 Se 0.000 0.500 0.500 (multiplicity 2)
4 Br 0.500 0.500 0.000 (multiplicity 1)

=====

This record from the Alexandria database describes an optimized crystal structure of ZrTaSeBr2. The functional is GGA-PBE.

## Properties
Energy relative to the lowest polymorph listed for this composition   0.000 eV/atom
Theoretical density   6.44 Mg/m³
E_form (uncorrected)   0.3886 eV/atom
Total magnetic moment   3.36 μB/f.u.

Unit cell a=5.099 b=5.099 c=5.066 alpha=90.00 beta=90.00 gamma=90.00
Space group P4/mmm (No. 123)
Asymmetric unit:
1 Zr 0.000 0.000 0.000 (multiplicity 1)
2 Ta 0.500 0.500 0.500 (multiplicity 1)
3 Se 0.500 0.500 0.000 (multiplicity 1)
4 Br 0.000 0.500 0.500 (multiplicity 2)

=====

This record from the Alexandria database describes an optimized crystal structure of ZrTaSeBr2. The functional is GGA-PBE.

## Properties
Energy relative to the lowest polymorph listed for this composition   0.091 eV/atom
Theoretical density   5.83 Mg/m³
E_form (uncorrected)   0.4791 eV/atom
Total magnetic moment   4.01 μB/f.u.

Unit cell a=5.242 b=5.242 c=5.295 alpha=90.00 beta=90.00 gamma=90.00
Space group P4/mmm (No. 123)
Asymmetric unit:
1 Zr 0.000 0.000 0.000 (multiplicity 1)
2 Ta 0.500 0.500 0.500 (multiplicity 1)
3 Se 0.000 0.000 0.500 (multiplicity 1)
4 Br 0.000 0.500 0.000 (multiplicity 2)